1.
KTa2Ni | SCAN | PBEsol geometry

Cell: 2.9746 2.8770 9.3690 Å, 90.00 90.00 90.00°
Sites, in units of the cell vectors:
Ni: 0.5000 0.5000 0.8085
Ta: 0.0000 0.0000 0.9637
Ta: 0.5000 0.5000 0.1877
K: 0.0000 0.0000 0.5401

Summary:
formation energy	51	kJ per mole of atoms

=====

2.
RePdSe2 | SCAN | PBEsol geometry

Cell: 5.6946 5.6946 6.6709 Å, 115.27 115.27 90.00°
Sites, in units of the cell vectors:
Se: 0.8900 0.3750 0.2500
Se: 0.6250 0.6400 0.7500
Se: 0.3600 0.8750 0.2500
Se: 0.1250 0.1100 0.7500
Re: 0.2500 0.7500 0.5000
Re: 0.0000 0.0000 0.0000
Pd: 0.5000 0.5000 0.0000
Pd: 0.7500 0.2500 0.5000

Summary:
raw formation energy	0.21	eV per atom

=====

3.
Ta2CoCu | SCAN | PBEsol geometry

Cell: 2.7578 4.6250 4.6250 Å, 107.86 89.90 89.90°
Sites, in units of the cell vectors:
Ta: 0.0000 0.5000 0.0000
Ta: 0.0000 0.0000 0.5000
Cu: 0.5000 0.0000 0.0000
Co: 0.5000 0.5000 0.5000

Summary:
formation energy	5	kJ per mole of atoms

=====

4.
IrRu3 | SCAN | PBEsol geometry

Cell: 2.6952 4.6757 5.0546 Å, 117.55 105.47 90.00°
Sites, in units of the cell vectors:
Ru: 0.7505 0.4173 0.5011
Ru: 0.5000 0.4997 0.0000
Ru: 0.2496 0.9162 0.4989
Ir: 0.0000 0.0002 0.0000

Summary:
formation energy	-6	kJ per mole of atoms

=====

5.
MoOsSCl2 | SCAN | PBEsol geometry

Cell: 4.3912 4.8612 4.8612 Å, 90.00 90.00 90.00°
Each line ends with the local moment (μB).
Sites, in units of the cell vectors:
Cl: 0.0000 0.0000 0.5000  0.03
Cl: 0.0000 0.5000 0.0000  0.03
Mo: 0.5000 0.5000 0.5000  4.21
Os: 0.0000 0.0000 0.0000  -0.17
S: 0.5000 0.0000 0.0000  -0.05

Summary:
raw formation energy	0.78	eV per atom

=====

6.
FeNiAu2 | SCAN | PBEsol geometry

Cell: 2.7574 2.7574 8.7643 Å, 80.95 80.95 60.00°
Each line ends with the local moment (μB).
Sites, in units of the cell vectors:
Au: 0.7489 0.7489 0.7533  0.00
Au: 0.2511 0.2511 0.2467  0.00
Fe: 0.5000 0.5000 0.5000  3.12
Ni: 0.0000 0.0000 0.0000  1.02

Summary:
formation energy	13	kJ per mole of atoms